No. 1
Entry from the Alexandria database: a relaxed structure of Ca5Tl3 (PBE-GGA).

Output
The calculated density comes out at 5.2 Mg/m³. The calculation puts the formation energy from the elements at -0.32 eV/atom. The value obtained for the final energy is -2.462 eV per atom.

CIF file:
```
data_Ca5Tl3
_chemical_formula_sum 'Ca20 Tl12'
_space_group_name_H-M_alt 'I 4/m c m'
_space_group_IT_number 140
_space_group_name_Hall '-I 4 2c'
_cell_length_a 12.772
_cell_length_b 12.772
_cell_length_c 6.353
_cell_angle_alpha 90.00
_cell_angle_beta 90.00
_cell_angle_gamma 90.00
loop_
_atom_site_label
_atom_site_fract_x
_atom_site_fract_y
_atom_site_fract_z
Ca1 0.000 0.500 0.250
Ca2 0.082 0.215 0.000
Tl1 0.000 0.000 0.250
Tl2 0.161 0.339 0.500
```



No. 2
Entry from the Alexandria database: a relaxed structure of BeTe2P (PBE-GGA).

Output
The calculated density comes out at 4.3 Mg/m³. The value obtained for the final energy is -3.301 eV per atom.

CIF file:
```
data_BeTe2P
_chemical_formula_sum 'Be3 Te6 P3'
_space_group_name_H-M_alt 'R -3 m'
_space_group_IT_number 166
_space_group_name_Hall '-R 3 2"'
_cell_length_a 4.1435
_cell_length_b 4.1435
_cell_length_c 22.9286
_cell_angle_alpha 90.00
_cell_angle_beta 90.00
_cell_angle_gamma 120.00
loop_
_atom_site_label
_atom_site_fract_x
_atom_site_fract_y
_atom_site_fract_z
Be1 0.0000 0.0000 0.0000
Te1 0.0000 0.0000 0.0994
P1 0.0000 0.0000 0.5000
```



No. 3
Entry from the Alexandria database: a relaxed structure of CaY2Re (PBE-GGA).

Output
The calculated density comes out at 5.9 Mg/m³. The calculation puts the formation energy from the elements at 0.41 eV/atom. The value obtained for the final energy is -6.432 eV per atom.

CIF file:
```
data_CaY2Re
_chemical_formula_sum 'Ca1 Y2 Re1'
_space_group_name_H-M_alt 'P 4 m m'
_space_group_IT_number 99
_cell_length_a 3.801
_cell_length_b 3.801
_cell_length_c 7.813
_cell_angle_alpha 90.00
_cell_angle_beta 90.00
_cell_angle_gamma 90.00
loop_
_space_group_symop_operation_xyz
'x,y,z'
'-y,x,z'
'-x,-y,z'
'y,-x,z'
'-x,y,z'
'y,x,z'
'x,-y,z'
'-y,-x,z'
loop_
_atom_site_label
_atom_site_fract_x
_atom_site_fract_y
_atom_site_fract_z
Ca1 0.000 0.000 0.000
Y1 0.000 0.000 0.397
Y2 0.500 0.500 0.647
Re1 0.500 0.500 0.258
```



No. 4
Entry from the Alexandria database: a relaxed structure of TbPm2Er2Sc2 (PBE-GGA).

Output
The calculated density comes out at 6.8 Mg/m³. The calculation puts the formation energy from the elements at 0.11 eV/atom. The value obtained for the final energy is -5.023 eV per atom.

CIF file:
```
data_TbPm2Er2Sc2
_chemical_formula_sum 'Tb2 Pm4 Er4 Sc4'
_space_group_name_H-M_alt 'C 1 2/m 1'
_space_group_IT_number 12
_cell_length_a 11.356
_cell_length_b 3.427
_cell_length_c 11.561
_cell_angle_alpha 90.00
_cell_angle_beta 108.71
_cell_angle_gamma 90.00
loop_
_space_group_symop_operation_xyz
'x,y,z'
'-x,-y,-z'
'-x,y,-z'
'x,-y,z'
'x+1/2,y+1/2,z'
'-x+1/2,-y+1/2,-z'
'-x+1/2,y+1/2,-z'
'x+1/2,-y+1/2,z'
loop_
_atom_site_label
_atom_site_fract_x
_atom_site_fract_y
_atom_site_fract_z
Tb1 0.000 0.000 0.000
Pm1 0.172 0.500 0.589
Er1 0.046 0.500 0.267
Sc1 0.228 0.000 0.869
```



No. 5
Entry from the Alexandria database: a relaxed structure of Y2Si2Pt (PBE-GGA).

Output
The calculated density comes out at 7.4 Mg/m³. The value obtained for the final energy is -6.984 eV per atom.

CIF file:
```
data_Y2Si2Pt
_chemical_formula_sum 'Y4 Si4 Pt2'
_space_group_name_H-M_alt 'P 4/m b m'
_space_group_IT_number 127
_space_group_name_Hall '-P 4 2ab'
_cell_length_a 6.520
_cell_length_b 6.520
_cell_length_c 4.549
_cell_angle_alpha 90.00
_cell_angle_beta 90.00
_cell_angle_gamma 90.00
loop_
_atom_site_label
_atom_site_fract_x
_atom_site_fract_y
_atom_site_fract_z
Y1 0.174 0.326 0.000
Si1 0.134 0.634 0.500
Pt1 0.000 0.000 0.500
```



No. 6
Entry from the Alexandria database: a relaxed structure of Mg5Tl (PBE-GGA).

Output
The calculated density comes out at 3.8 Mg/m³. The calculation puts the formation energy from the elements at 0.00 eV/atom. The value obtained for the final energy is -1.723 eV per atom.

CIF file:
```
data_Mg5Tl
_chemical_formula_sum 'Mg5 Tl1'
_space_group_name_H-M_alt 'P 4/m m m'
_space_group_IT_number 123
_space_group_name_Hall '-P 4 2'
_cell_length_a 3.313
_cell_length_b 3.313
_cell_length_c 13.018
_cell_angle_alpha 90.00
_cell_angle_beta 90.00
_cell_angle_gamma 90.00
loop_
_atom_site_label
_atom_site_fract_x
_atom_site_fract_y
_atom_site_fract_z
Mg1 0.000 0.000 0.000
Mg2 0.000 0.000 0.327
Mg3 0.500 0.500 0.161
Tl1 0.500 0.500 0.500
```